No. 1
# Ta5C2

A relaxed Ta5C2 crystal (PBE, Alexandria).

As for the crystal system: monoclinic. Its volume is 14.772 A^3/atom. The formation energy is -418 meV per atom.

The structure belongs to space group C2/c (No. 15); the cell edges are 13.804, 5.460 and 5.744 Å and the angles 90.00°, 107.18° and 90.00°. The inequivalent atoms are Ta at (0.000, 0.097, 0.250), Ta at (0.102, 0.407, 0.925), Ta at (0.200, 0.092, 0.653) and C at (0.150, 0.251, 0.291).

***

No. 2
# Ta2C

A relaxed Ta2C crystal (PBE, Alexandria).

As for the crystal system: tetragonal. Its volume is 14.180 A^3/atom. The formation energy is -345 meV per atom.

The structure belongs to space group P4/mmm (No. 123); the cell edges are 3.072, 3.072 and 4.508 Å and the angles 90.00°, 90.00° and 90.00°. The inequivalent atoms are Ta at (0.000, 0.000, 0.000), Ta at (0.500, 0.500, 0.500) and C at (0.000, 0.000, 0.500).

***

No. 3
# Ta4C

A relaxed Ta4C crystal (PBE, Alexandria).

As for the crystal system: tetragonal. Its volume is 17.814 A^3/atom. Its distance to the lowest polymorph of the same formula is 1.7806 eV/atom. The formation energy is 1637 meV per atom.

The structure belongs to space group I4/mmm (No. 139); the cell edges are 3.441, 3.441 and 15.042 Å and the angles 90.00°, 90.00° and 90.00°. The inequivalent atoms are Ta at (0.000, 0.000, 0.085), Ta at (0.000, 0.500, 0.250) and C at (0.000, 0.000, 0.500).

***

No. 4
# TaC2

A relaxed TaC2 crystal (PBE, Alexandria).

As for the crystal system: orthorhombic. Its volume is 9.260 A^3/atom. Its distance to the lowest polymorph of the same formula is 0.4564 eV/atom. The formation energy is 661 meV per atom.

The structure belongs to space group Cmcm (No. 63); the cell edges are 3.037, 12.681 and 2.885 Å and the angles 90.00°, 90.00° and 90.00°. The inequivalent atoms are Ta at (0.000, 0.118, 0.250), C at (0.000, 0.250, 0.750) and C at (0.000, 0.460, 0.250).

***

No. 5
# TaC3

A relaxed TaC3 crystal (PBE, Alexandria).

As for the crystal system: orthorhombic. Its volume is 10.880 A^3/atom. Its distance to the lowest polymorph of the same formula is 0.3060 eV/atom. The formation energy is 894 meV per atom.

The structure belongs to space group Pmmm (No. 47); the cell edges are 2.748, 3.221 and 4.916 Å and the angles 90.00°, 90.00° and 90.00°. The inequivalent atoms are Ta at (0.000, 0.000, 0.000), C at (0.000, 0.000, 0.500), C at (0.500, 0.000, 0.500) and C at (0.500, 0.500, 0.000).

***

No. 6
# Ta2C

A relaxed Ta2C crystal (PBE, Alexandria).

As for the crystal system: orthorhombic. Its volume is 14.933 A^3/atom. The formation energy is 422 meV per atom.

The structure belongs to space group Cmmm (No. 65); the cell edges are 5.309, 10.943 and 3.084 Å and the angles 90.00°, 90.00° and 90.00°. The inequivalent atoms are Ta at (0.000, 0.000, 0.000), Ta at (0.000, 0.220, 0.500), Ta at (0.000, 0.500, 0.500) and C at (0.000, 0.357, 0.000).

***

No. 7
# Ta3C5

A relaxed Ta3C5 crystal (PBE, Alexandria).

As for the crystal system: monoclinic. Its volume is 11.260 A^3/atom. Its distance to the lowest polymorph of the same formula is 0.1167 eV/atom. The formation energy is 366 meV per atom.

The structure belongs to space group Cm (No. 8); the cell edges are 6.042, 10.912 and 6.184 Å and the angles 90.00°, 117.91° and 90.00°. The inequivalent atoms are Ta at (0.000, 0.000, 0.000), Ta at (0.091, 0.252, 0.818), Ta at (0.159, 0.346, 0.311), Ta at (0.328, 0.000, 0.620), C at (0.132, 0.433, 0.969), C at (0.243, 0.173, 0.177), C at (0.359, 0.000, 0.296), C at (0.373, 0.176, 0.450), C at (0.413, 0.500, 0.410) and C at (0.482, 0.429, 0.657).

***

No. 8
# Ta5C

A relaxed Ta5C crystal (PBE, Alexandria).

As for the crystal system: monoclinic. Its volume is 16.496 A^3/atom. Its distance to the lowest polymorph of the same formula is 0.0000 eV/atom. The formation energy is 26 meV per atom.

The structure belongs to space group Cm (No. 8); the cell edges are 9.158, 2.929 and 7.664 Å and the angles 90.00°, 105.67° and 90.00°. The inequivalent atoms are Ta at (0.000, 0.000, 0.000), Ta at (0.091, 0.000, 0.417), Ta at (0.189, 0.500, 0.790), Ta at (0.282, 0.500, 0.214), Ta at (0.390, 0.000, 0.594) and C at (0.282, 0.000, 0.003).

***

No. 9
# Ta5C

A relaxed Ta5C crystal (PBE, Alexandria).

As for the crystal system: hexagonal. Its volume is 19.880 A^3/atom. Its distance to the lowest polymorph of the same formula is 1.7336 eV/atom. The formation energy is 1759 meV per atom.

The structure belongs to space group P6/mmm (No. 191); the cell edges are 5.1845, 5.1845 and 5.1242 Å and the angles 90.00°, 90.00° and 120.00°. The inequivalent atoms are Ta at (0.0000, 0.5000, 0.0000), Ta at (0.3333, 0.6667, 0.5000) and C at (0.0000, 0.0000, 0.5000).

***

No. 10
# TaC

A relaxed TaC crystal (PBE, Alexandria).

As for the crystal system: tetragonal. Its volume is 13.028 A^3/atom. Its distance to the lowest polymorph of the same formula is 0.9021 eV/atom. The formation energy is 325 meV per atom.

The structure belongs to space group P4/nmm (No. 129, origin choice 2); the cell edges are 4.150, 4.150 and 3.026 Å and the angles 90.00°, 90.00° and 90.00°. The inequivalent atoms are Ta at (0.250, 0.750, 0.000) and C at (0.250, 0.250, 0.214).

***

No. 11
# Ta5C4

A relaxed Ta5C4 crystal (PBE, Alexandria).

As for the crystal system: hexagonal. Its volume is 11.843 A^3/atom. Its distance to the lowest polymorph of the same formula is 0.0000 eV/atom. The formation energy is -33 meV per atom.

The structure belongs to space group P6_3/mcm (No. 193); the cell edges are 6.7252, 6.7252 and 5.4426 Å and the angles 90.00°, 90.00° and 120.00°. The inequivalent atoms are Ta at (0.0000, 0.2477, 0.2500), Ta at (0.3333, 0.6667, 0.0000), C at (0.0000, 0.0000, 0.0000) and C at (0.0000, 0.3983, 0.7500).

***

No. 12
# TaC

A relaxed TaC crystal (PBE, Alexandria).

As for the crystal system: hexagonal. Its volume is 16.552 A^3/atom. Its distance to the lowest polymorph of the same formula is 0.6736 eV/atom. The formation energy is 96 meV per atom.

The structure belongs to space group P6_3/m (No. 176); the cell edges are 8.0646, 8.0646 and 3.5264 Å and the angles 90.00°, 90.00° and 120.00°. The inequivalent atoms are Ta at (0.1203, 0.6790, 0.2500) and C at (0.0362, 0.3754, 0.2500).

***

No. 13
# Ta3C5

A relaxed Ta3C5 crystal (PBE, Alexandria).

As for the crystal system: tetragonal. Its volume is 11.389 A^3/atom. Its distance to the lowest polymorph of the same formula is 0.0000 eV/atom. The formation energy is 249 meV per atom.

The structure belongs to space group P4/mmm (No. 123); the cell edges are 3.059, 3.059 and 9.735 Å and the angles 90.00°, 90.00° and 90.00°. The inequivalent atoms are Ta at (0.000, 0.000, 0.000), Ta at (0.500, 0.500, 0.278), C at (0.000, 0.000, 0.361), C at (0.000, 0.000, 0.500) and C at (0.500, 0.500, 0.073).

***

No. 14
# TaC2

A relaxed TaC2 crystal (PBE, Alexandria).

As for the crystal system: hexagonal. Its volume is 11.320 A^3/atom. Its distance to the lowest polymorph of the same formula is 0.2327 eV/atom. The formation energy is 437 meV per atom.

The structure belongs to space group P6_3/mmc (No. 194); the cell edges are 3.1397, 3.1397 and 7.9561 Å and the angles 90.00°, 90.00° and 120.00°. The inequivalent atoms are Ta at (0.0000, 0.0000, 0.0000) and C at (0.3333, 0.6667, 0.1641).

***

No. 15
# Ta5C

A relaxed Ta5C crystal (PBE, Alexandria).

As for the crystal system: tetragonal. Its volume is 16.188 A^3/atom. Its distance to the lowest polymorph of the same formula is 0.2197 eV/atom. The formation energy is 245 meV per atom.

The structure belongs to space group P4/mmm (No. 123); the cell edges are 2.819, 2.819 and 12.219 Å and the angles 90.00°, 90.00° and 90.00°. The inequivalent atoms are Ta at (0.000, 0.000, 0.000), Ta at (0.000, 0.000, 0.391), Ta at (0.500, 0.500, 0.192) and C at (0.500, 0.500, 0.500).

***

No. 16
# TaC2

A relaxed TaC2 crystal (PBE, Alexandria).

As for the crystal system: tetragonal. Its volume is 9.016 A^3/atom. Its distance to the lowest polymorph of the same formula is 0.6895 eV/atom. The formation energy is 894 meV per atom.

The structure belongs to space group I4_1/amd (No. 141, origin choice 2); the cell edges are 2.761, 2.761 and 14.187 Å and the angles 90.00°, 90.00° and 90.00°. The inequivalent atoms are Ta at (0.000, 0.250, 0.375) and C at (0.000, 0.250, 0.778).

***

No. 17
# TaC4

A relaxed TaC4 crystal (PBE, Alexandria).

As for the crystal system: cubic. Its volume is 12.076 A^3/atom. Its distance to the lowest polymorph of the same formula is 1.7208 eV/atom. The formation energy is 2519 meV per atom.

The structure belongs to space group Im-3m (No. 229); the cell edges are 4.943, 4.943 and 4.943 Å and the angles 90.00°, 90.00° and 90.00°. The inequivalent atoms are Ta at (0.000, 0.000, 0.000) and C at (0.250, 0.250, 0.250).

***

No. 18
# TaC

A relaxed TaC crystal (PBE, Alexandria).

As for the crystal system: trigonal. Its volume is 12.909 A^3/atom. Its distance to the lowest polymorph of the same formula is 1.0289 eV/atom. The formation energy is 451 meV per atom.

The structure belongs to space group R-3m (No. 166, hexagonal axes); the cell edges are 3.8441, 3.8441 and 12.1050 Å and the angles 90.00°, 90.00° and 120.00°. The inequivalent atoms are Ta at (0.0000, 0.0000, 0.2363) and C at (0.0000, 0.0000, 0.0602).

***

No. 19
# TaC3

A relaxed TaC3 crystal (PBE, Alexandria).

As for the crystal system: hexagonal. Its volume is 10.514 A^3/atom. Its distance to the lowest polymorph of the same formula is 0.6426 eV/atom. The formation energy is 1231 meV per atom.

The structure belongs to space group P6_3/mmc (No. 194); the cell edges are 4.3062, 4.3062 and 5.2378 Å and the angles 90.00°, 90.00° and 120.00°. The inequivalent atoms are Ta at (0.3333, 0.6667, 0.2500) and C at (0.1132, 0.2264, 0.7500).

***

No. 20
# Ta4C5

A relaxed Ta4C5 crystal (PBE, Alexandria).

As for the crystal system: tetragonal. Its volume is 10.985 A^3/atom. Its distance to the lowest polymorph of the same formula is 0.0226 eV/atom. The formation energy is 386 meV per atom.

The structure belongs to space group I4/mmm (No. 139); the cell edges are 8.173, 8.173 and 2.960 Å and the angles 90.00°, 90.00° and 90.00°. The inequivalent atoms are Ta at (0.000, 0.259, 0.000), C at (0.000, 0.000, 0.000) and C at (0.213, 0.213, 0.500).

***

No. 21
# Ta2C

A relaxed Ta2C crystal (PBE, Alexandria).

As for the crystal system: orthorhombic. Its volume is 14.606 A^3/atom. The formation energy is 155 meV per atom.

The structure belongs to space group Cmcm (No. 63); the cell edges are 3.017, 11.666 and 4.981 Å and the angles 90.00°, 90.00° and 90.00°. The inequivalent atoms are Ta at (0.000, 0.067, 0.250), Ta at (0.000, 0.196, 0.750) and C at (0.000, 0.435, 0.250).

***

No. 22
# Ta4C3

A relaxed Ta4C3 crystal (PBE, Alexandria).

As for the crystal system: monoclinic. Its volume is 12.505 A^3/atom. Its distance to the lowest polymorph of the same formula is 0.0220 eV/atom. The formation energy is -534 meV per atom.

The structure belongs to space group C2/m (No. 12); the cell edges are 11.550, 3.133 and 5.469 Å and the angles 90.00°, 117.78° and 90.00°. The inequivalent atoms are Ta at (0.125, 0.000, 0.455), Ta at (0.127, 0.500, 0.966), C at (0.000, 0.000, 0.000) and C at (0.238, 0.500, 0.735).

***

No. 23
# Ta2C

A relaxed Ta2C crystal (PBE, Alexandria).

As for the crystal system: orthorhombic. Its volume is 13.848 A^3/atom. The formation energy is -230 meV per atom.

The structure belongs to space group Cmc2_1 (No. 36); the cell edges are 3.013, 10.194 and 5.410 Å and the angles 90.00°, 90.00° and 90.00°. The inequivalent atoms are Ta at (0.000, 0.003, 0.000), Ta at (0.000, 0.267, 0.234) and C at (0.000, 0.377, 0.828).

***

No. 24
# Ta8C

A relaxed Ta8C crystal (PBE, Alexandria).

As for the crystal system: tetragonal. Its volume is 16.875 A^3/atom. The formation energy is 314 meV per atom.

The structure belongs to space group I4/mmm (No. 139); the cell edges are 9.614, 9.614 and 3.286 Å and the angles 90.00°, 90.00° and 90.00°. The inequivalent atoms are Ta at (0.000, 0.330, 0.000), Ta at (0.153, 0.153, 0.500) and C at (0.000, 0.000, 0.000).

***

No. 25
# TaC

A relaxed TaC crystal (PBE, Alexandria).

As for the crystal system: hexagonal. Its volume is 12.904 A^3/atom. Its distance to the lowest polymorph of the same formula is 0.7011 eV/atom. The formation energy is 124 meV per atom.

The structure belongs to space group P-62m (No. 189); the cell edges are 5.4921, 5.4921 and 2.9638 Å and the angles 90.00°, 90.00° and 120.00°. The inequivalent atoms are Ta at (0.0000, 0.3700, 0.0000), C at (0.0000, 0.0000, 0.0000) and C at (0.3333, 0.6667, 0.5000).